Density functional theory data (PBE with a Hubbard U) for a relaxed structure of LiNiPO4.

Summary:
Uncorrected energy, eV per atom: -6.188
Relative energy among the computed polymorphs, meV per atom: 84

Lattice parameters (Å, degrees): 4.761 5.440 6.498 101.45 90.00 115.95
Element x y z (fractional)
O 0.239 0.740 0.996
O 0.988 0.334 0.224
Ni 0.338 0.731 0.292
O 0.472 0.167 0.376
P 0.317 0.642 0.776
O 0.499 0.260 0.004
Li 0.032 0.000 0.000
O 0.654 0.666 0.776
Ni 0.607 0.269 0.708
O 0.305 0.833 0.624
Li 0.024 0.000 0.500
O 0.065 0.331 0.689
O 0.733 0.669 0.311
P 0.676 0.358 0.224

Density functional theory data (PBE with a Hubbard U) for a relaxed structure of LiNiPO4.

Summary:
Uncorrected energy, eV per atom: -6.201
Relative energy among the computed polymorphs, meV per atom: 72

Lattice parameters (Å, degrees): 5.434 6.222 5.434 76.61 62.00 103.39
Element x y z (fractional)
O 0.269 0.392 0.778
O 0.288 0.087 0.167
P 0.121 0.250 0.121
O 0.670 0.892 0.877
O 0.778 0.108 0.269
Ni 0.438 0.250 0.438
O 0.167 0.413 0.288
O 0.877 0.608 0.670
O 0.201 0.913 0.754
Ni 0.188 0.750 0.188
O 0.754 0.587 0.201
Li 0.563 0.750 0.563
P 0.871 0.750 0.871
Li 0.813 0.250 0.813

- Among the records above, which one has the highest uncorrected energy?
  number 1